No. 1
The following is a meta-GGA SCAN calculation of a crystal of MoPt3 relaxed with PBEsol, from Alexandria.

a = 2.737 Å, b = 2.737 Å, c = 7.956 Å
α = 90.00°, β = 90.00°, γ = 90.00°
Fractional positions:
Mo: 0.000 0.000 0.000
Pt: 0.000 0.000 0.500
Pt: 0.500 0.500 0.240
Pt: 0.500 0.500 0.760

## Properties
Space-group type: P4/mmm
E in eV per atom: -61.672
DFT formation energy in kcal/mol of atoms: -7.06
Spin magnetization in μB per atom: 0.001



No. 2
The following is a meta-GGA SCAN calculation of a crystal of CuNiSeN2 relaxed with PBEsol, from Alexandria.

a = 3.533 Å, b = 3.533 Å, c = 5.267 Å
α = 90.00°, β = 90.00°, γ = 90.00°
Each line ends with the local moment (μB).
Fractional positions:
Ni: 0.000 0.000 0.000  0.67
Cu: 0.500 0.500 0.500  0.05
Se: 0.000 0.000 0.500  0.18
N: 0.000 0.500 0.000  1.10
N: 0.500 0.000 0.000  1.10

## Properties
Space-group type: P4/mmm
E in eV per atom: -12.989
Formation energy from raw total energies in eV per atom: 1.017
Spin magnetization in μB per atom: 0.786



No. 3
The following is a meta-GGA SCAN calculation of a crystal of Mn2V2O7 relaxed with PBEsol, from Alexandria.

a = 5.014 Å, b = 5.329 Å, c = 5.329 Å
α = 108.36°, β = 96.62°, γ = 96.62°
Each line ends with the local moment (μB).
Fractional positions:
Mn: 0.500 0.684 0.316  4.29
Mn: 0.500 0.312 0.688  4.28
V: 0.892 0.248 0.252  0.57
V: 0.108 0.748 0.752  0.57
O: 0.000 0.997 0.003  -0.03
O: 0.302 0.603 0.944  -0.02
O: 0.698 0.056 0.397  -0.02
O: 0.301 0.940 0.608  -0.02
O: 0.699 0.392 0.060  -0.02
O: 0.776 0.572 0.576  0.01
O: 0.224 0.424 0.428  0.01

## Properties
Space-group type: C2
E in eV per atom: -12.919
Formation energy from raw total energies in eV per atom: -2.455
Spin magnetization in μB per atom: 0.909